As3PtF: relaxed, GGA-PBE.

Results
Its electronic total energy is -19.7 eV per formula unit. The calculation puts the density of states at the Fermi level at 0.895 states/eV per atom. Its excess energy over the best structure of this formula in the dataset is 0.0 meV/atom. The magnetization comes out at 0.0000 μB/atom. The calculation puts the formation energy without anion corrections at 0.4237 eV per atom. Its symmetry is Pm-3m, No. 221. As for the calculated volume: 89.3 Å³ per cell.

Cell: 4.4705 4.4705 4.4705 Å, 90.00 90.00 90.00°
Fractional coordinates of all 5 atoms:
As 0.0000 0.0000 0.5000
As 0.0000 0.5000 0.0000
As 0.5000 0.0000 0.0000
Pt 0.5000 0.5000 0.5000
F 0.0000 0.0000 0.0000

---

PaPd3Au2: relaxed, GGA-PBE.

Results
Its electronic total energy is -34.5 eV per formula unit. The calculation puts the density of states at the Fermi level at 0.659 states/eV per atom. The value obtained for the formation energy is -0.478 eV/atom. Its excess energy over the best structure of this formula in the dataset is 0.0 meV/atom. The magnetization comes out at 0.0001 μB/atom. Its symmetry is C2/c, No. 15. As for the calculated volume: 216.6 Å³ per cell.

Cell: 5.2047 5.2047 9.7886 Å, 111.99 111.99 65.86°
Fractional coordinates of all 12 atoms:
Pa 0.1256 0.8744 0.7500
Pa 0.8744 0.1256 0.2500
Pd 0.0459 0.2956 0.5917
Pd 0.2956 0.0459 0.0917
Pd 0.3748 0.6252 0.2500
Pd 0.6252 0.3748 0.7500
Pd 0.7044 0.9541 0.9083
Pd 0.9541 0.7044 0.4083
Au 0.2138 0.4634 0.9275
Au 0.4634 0.2138 0.4275
Au 0.5366 0.7862 0.5725
Au 0.7862 0.5366 0.0725

---

CeCdPd: relaxed, GGA-PBE.

Results
Its electronic total energy is -13.4 eV per formula unit. The calculation puts the density of states at the Fermi level at 1.982 states/eV per atom. The value obtained for the formation energy is -0.457 eV/atom. The magnetization comes out at 0.1956 μB/atom. Its symmetry is P-6m2, No. 187. As for the calculated volume: 67.4 Å³ per cell.

Cell: 4.8148 4.8148 3.3561 Å, 90.00 90.00 120.00°
Fractional coordinates of all 3 atoms:
Ce 0.0000 0.0000 0.0000
Cd 0.3333 0.6667 0.5000
Pd 0.6667 0.3333 0.5000

---

MnBH2: relaxed, GGA-PBE.

Results
Its electronic total energy is -19.8 eV per formula unit. The calculation puts the density of states at the Fermi level at 0.833 states/eV per atom. Its excess energy over the best structure of this formula in the dataset is 237.7 meV/atom. The magnetization comes out at 0.2286 μB/atom. Its symmetry is Fm-3m, No. 225. As for the calculated volume: 85.7 Å³ per cell.

Cell: 4.4090 4.4090 4.4090 Å, 90.00 90.00 90.00°
Fractional coordinates of all 16 atoms:
Mn 0.0000 0.0000 0.0000
Mn 0.0000 0.5000 0.5000
Mn 0.5000 0.0000 0.5000
Mn 0.5000 0.5000 0.0000
B 0.0000 0.0000 0.5000
B 0.0000 0.5000 0.0000
B 0.5000 0.0000 0.0000
B 0.5000 0.5000 0.5000
H 0.2500 0.2500 0.2500
H 0.2500 0.2500 0.7500
H 0.2500 0.7500 0.2500
H 0.2500 0.7500 0.7500
H 0.7500 0.2500 0.2500
H 0.7500 0.2500 0.7500
H 0.7500 0.7500 0.2500
H 0.7500 0.7500 0.7500

---

Y2Be3GaPt4: relaxed, GGA-PBE.

Results
Its electronic total energy is -60.6 eV per formula unit. The calculation puts the density of states at the Fermi level at 0.433 states/eV per atom. The value obtained for the formation energy is -0.932 eV/atom. The magnetization comes out at 0.0000 μB/atom. Its symmetry is P-4m2, No. 115. As for the calculated volume: 162.2 Å³ per cell.

Cell: 4.0571 4.0571 9.8520 Å, 90.00 90.00 90.00°
Fractional coordinates of all 10 atoms:
Y 0.0000 0.5000 0.2421
Y 0.5000 0.0000 0.7579
Be 0.0000 0.5000 0.8814
Be 0.5000 0.0000 0.1186
Be 0.5000 0.5000 0.5000
Ga 0.0000 0.0000 0.5000
Pt 0.0000 0.0000 0.0000
Pt 0.0000 0.5000 0.6464
Pt 0.5000 0.0000 0.3536
Pt 0.5000 0.5000 0.0000

---

Ta4NiIr: relaxed, GGA-PBE.

Results
Its electronic total energy is -63.8 eV per formula unit. The calculation puts the density of states at the Fermi level at 0.902 states/eV per atom. The value obtained for the formation energy is -0.298 eV/atom. Its excess energy over the best structure of this formula in the dataset is 0.0 meV/atom. The magnetization comes out at 0.0000 μB/atom. Its symmetry is P4/mcc, No. 124. As for the calculated volume: 201.2 Å³ per cell.

Cell: 6.2881 6.2881 5.0886 Å, 90.00 90.00 90.00°
Fractional coordinates of all 12 atoms:
Ta 0.1519 0.3365 0.0000
Ta 0.1519 0.6635 0.5000
Ta 0.3365 0.1519 0.5000
Ta 0.3365 0.8481 0.0000
Ta 0.6635 0.1519 0.0000
Ta 0.6635 0.8481 0.5000
Ta 0.8481 0.3365 0.5000
Ta 0.8481 0.6635 0.0000
Ni 0.0000 0.0000 0.2500
Ni 0.0000 0.0000 0.7500
Ir 0.5000 0.5000 0.2500
Ir 0.5000 0.5000 0.7500

---

K3CoAs: relaxed, GGA-PBE.

Results
Its electronic total energy is -12.0 eV per formula unit. The calculation puts the density of states at the Fermi level at 1.221 states/eV per atom. The value obtained for the formation energy is 0.603 eV/atom. Its excess energy over the best structure of this formula in the dataset is 0.0 meV/atom. The magnetization comes out at 0.6001 μB/atom. Its symmetry is Pm-3m, No. 221. As for the calculated volume: 257.2 Å³ per cell.

Cell: 6.3594 6.3594 6.3594 Å, 90.00 90.00 90.00°
Fractional coordinates of all 5 atoms:
K 0.0000 0.0000 0.5000
K 0.0000 0.5000 0.0000
K 0.5000 0.0000 0.0000
Co 0.5000 0.5000 0.5000
As 0.0000 0.0000 0.0000

---

Tc2AsSe: relaxed, GGA-PBE.

Results
Its electronic total energy is -27.4 eV per formula unit. The calculation puts the density of states at the Fermi level at 0.794 states/eV per atom. Its excess energy over the best structure of this formula in the dataset is 470.1 meV/atom. The magnetization comes out at 0.0000 μB/atom. The calculation puts the formation energy without anion corrections at 0.3717 eV per atom. Its symmetry is P2/m, No. 10. As for the calculated volume: 69.4 Å³ per cell.

Cell: 3.0185 3.8498 6.0603 Å, 90.00 99.88 90.00°
Fractional coordinates of all 4 atoms:
Tc 0.1222 0.0000 0.3065
Tc 0.8778 0.0000 0.6935
As 0.5000 0.5000 0.5000
Se 0.0000 0.5000 0.0000

---

MgReTe2: relaxed, GGA-PBE.

Results
Its electronic total energy is -19.8 eV per formula unit. The calculation puts the density of states at the Fermi level at 0.658 states/eV per atom. The magnetization comes out at 0.0001 μB/atom. The calculation puts the formation energy without anion corrections at 0.1414 eV per atom. Its symmetry is Immm, No. 71. As for the calculated volume: 202.8 Å³ per cell.

Cell: 3.3456 4.5946 13.1945 Å, 90.00 90.00 90.00°
Fractional coordinates of all 8 atoms:
Mg 0.0000 0.0000 0.0000
Mg 0.5000 0.5000 0.5000
Re 0.0000 0.0000 0.5000
Re 0.5000 0.5000 0.0000
Te 0.0000 0.5000 0.1594
Te 0.0000 0.5000 0.8406
Te 0.5000 0.0000 0.3406
Te 0.5000 0.0000 0.6594

---

Er2Tc3B4: relaxed, GGA-PBE.

Results
Its electronic total energy is -71.2 eV per formula unit. The calculation puts the density of states at the Fermi level at 0.388 states/eV per atom. The value obtained for the formation energy is -0.477 eV/atom. The magnetization comes out at 0.0000 μB/atom. Its symmetry is P2_1/c, No. 14. As for the calculated volume: 224.2 Å³ per cell.

Cell: 6.2223 6.2793 6.0285 Å, 90.00 107.83 90.00°
Fractional coordinates of all 18 atoms:
Er 0.1932 0.1690 0.0785
Er 0.1932 0.3310 0.5785
Er 0.8068 0.6690 0.4215
Er 0.8068 0.8310 0.9215
Tc 0.2531 0.6746 0.2528
Tc 0.2531 0.8254 0.7528
Tc 0.5000 0.0000 0.5000
Tc 0.5000 0.5000 0.0000
Tc 0.7469 0.1746 0.2472
Tc 0.7469 0.3254 0.7472
B 0.0812 0.5377 0.8928
B 0.0812 0.9623 0.3928
B 0.4948 0.6155 0.6162
B 0.4948 0.8845 0.1162
B 0.5052 0.1155 0.8838
B 0.5052 0.3845 0.3838
B 0.9188 0.0377 0.6072
B 0.9188 0.4623 0.1072